Density functional theory data (PBE-GGA) for a relaxed structure of CaRuNF2.

Computed properties:
The magnetic moment is 0.0 μB per cell. The formation energy from raw total energies is -1.2547 eV per atom. Its offset from the most stable computed form is 0 meV per atom. Its total energy is -29.62 eV/cell.

Lattice parameters (Å, degrees): 4.338 4.338 3.784 90.00 90.00 90.00
Sites, in units of the cell vectors:
Ca (0.000, 0.000, 0.000)
Ru (0.500, 0.500, 0.500)
N (0.500, 0.500, 0.000)
F (0.000, 0.500, 0.500)
F (0.500, 0.000, 0.500)

---

Density functional theory data (PBE-GGA) for a relaxed structure of CaRuNF2.

Computed properties:
The magnetic moment is 4.5 μB per cell. The formation energy from raw total energies is -0.4170 eV per atom. Its offset from the most stable computed form is 838 meV per atom. Its total energy is -25.43 eV/cell.

Lattice parameters (Å, degrees): 4.100 4.100 5.072 90.00 90.00 90.00
Sites, in units of the cell vectors:
Ca (0.000, 0.000, 0.000)
Ru (0.500, 0.500, 0.500)
N (0.000, 0.000, 0.500)
F (0.000, 0.500, 0.000)
F (0.500, 0.000, 0.000)

---

Density functional theory data (PBE-GGA) for a relaxed structure of CaSN2F.

Computed properties:
The magnetic moment is 7.0 μB per cell. The formation energy from raw total energies is 1.3551 eV per atom. Its offset from the most stable computed form is 1533 meV per atom. Its total energy is -17.88 eV/cell.

Lattice parameters (Å, degrees): 4.754 4.754 5.697 90.00 90.00 90.00
Sites, in units of the cell vectors:
Ca (0.000, 0.000, 0.000)
S (0.000, 0.000, 0.500)
N (0.000, 0.500, 0.000)
N (0.500, 0.000, 0.000)
F (0.500, 0.500, 0.500)

---

Density functional theory data (PBE-GGA) for a relaxed structure of CaS2NF.

Computed properties:
The magnetic moment is 2.3 μB per cell. The formation energy from raw total energies is 0.4204 eV per atom. Its offset from the most stable computed form is 0 meV per atom. Its total energy is -18.35 eV/cell.

Lattice parameters (Å, degrees): 4.267 4.267 4.755 90.00 90.00 90.00
Sites, in units of the cell vectors:
Ca (0.000, 0.000, 0.000)
S (0.000, 0.500, 0.500)
S (0.500, 0.000, 0.500)
N (0.500, 0.500, 0.000)
F (0.500, 0.500, 0.500)

---

Density functional theory data (PBE-GGA) for a relaxed structure of CaSN2F.

Computed properties:
The magnetic moment is 2.3 μB per cell. The formation energy from raw total energies is 1.1632 eV per atom. Its offset from the most stable computed form is 1341 meV per atom. Its total energy is -18.83 eV/cell.

Lattice parameters (Å, degrees): 4.212 4.212 4.012 90.00 90.00 90.00
Sites, in units of the cell vectors:
Ca (0.000, 0.000, 0.000)
S (0.500, 0.500, 0.000)
N (0.000, 0.500, 0.500)
N (0.500, 0.000, 0.500)
F (0.500, 0.500, 0.500)

---

Density functional theory data (PBE-GGA) for a relaxed structure of CaSNF2.

Computed properties:
The magnetic moment is 2.6 μB per cell. The formation energy from raw total energies is -0.5776 eV per atom. Its offset from the most stable computed form is 384 meV per atom. Its total energy is -21.08 eV/cell.

Lattice parameters (Å, degrees): 4.221 4.221 5.667 90.00 90.00 90.00
Sites, in units of the cell vectors:
Ca (0.000, 0.000, 0.000)
S (0.500, 0.500, 0.500)
N (0.000, 0.000, 0.500)
F (0.000, 0.500, 0.000)
F (0.500, 0.000, 0.000)

---

Density functional theory data (PBE-GGA) for a relaxed structure of CaSNF2.

Computed properties:
The magnetic moment is 0.0 μB per cell. The formation energy from raw total energies is -0.9613 eV per atom. Its offset from the most stable computed form is 0 meV per atom. Its total energy is -23.00 eV/cell.

Lattice parameters (Å, degrees): 4.624 4.624 3.406 90.00 90.00 90.00
Sites, in units of the cell vectors:
Ca (0.000, 0.000, 0.000)
S (0.500, 0.500, 0.500)
N (0.500, 0.500, 0.000)
F (0.000, 0.500, 0.500)
F (0.500, 0.000, 0.500)

---

Density functional theory data (PBE-GGA) for a relaxed structure of CaS2NF.

Computed properties:
The magnetic moment is 0.2 μB per cell. The formation energy from raw total energies is 1.1089 eV per atom. Its offset from the most stable computed form is 689 meV per atom. Its total energy is -14.91 eV/cell.

Lattice parameters (Å, degrees): 5.310 5.310 4.471 90.00 90.00 90.00
Sites, in units of the cell vectors:
Ca (0.000, 0.000, 0.000)
S (0.000, 0.500, 0.000)
S (0.500, 0.000, 0.000)
N (0.000, 0.000, 0.500)
F (0.500, 0.500, 0.500)

---

magnetic moment of number 2 (CaRuNF2)? 4.5 μB per cell

---

Which value of magnetic moment does entry 1 give? 0.0 μB per cell

---

Among the records above, which one has the lowest formation energy from raw total energies? number 1